# 1
Entry from OQMD: crystalline Ta3InGe5 at its relaxed geometry (PBE).

Structure (CIF):
```
data_Ta3InGe5
_symmetry_space_group_name_H-M 'P 1'
_symmetry_Int_Tables_number 1
_symmetry_space_group_name_Hall 'P 1'
_cell_length_a 5.692
_cell_length_b 5.692
_cell_length_c 6.667
_cell_angle_alpha 90.00
_cell_angle_beta 90.00
_cell_angle_gamma 120.00
loop_
_atom_site_label
_atom_site_fract_x
_atom_site_fract_y
_atom_site_fract_z
Ta1 0.000 0.500 0.000
Ta2 0.500 0.000 0.000
Ta3 0.500 0.500 0.000
In1 0.000 0.000 0.500
Ge1 0.000 0.000 0.000
Ge2 0.333 0.667 0.316
Ge3 0.333 0.667 0.684
Ge4 0.667 0.333 0.316
Ge5 0.667 0.333 0.684
```

Results
The total magnetic moment is 0.00 μB/cell. For the density, the calculation gives 9.06 g/cm3. The uncorrected energy is -6.753 eV/atom.

# 2
Entry from OQMD: crystalline SmAl3C at its relaxed geometry (PBE).

Structure (CIF):
```
data_SmAl3C
_symmetry_space_group_name_H-M 'P 1'
_symmetry_Int_Tables_number 1
_symmetry_space_group_name_Hall 'P 1'
_cell_length_a 4.412
_cell_length_b 4.412
_cell_length_c 4.412
_cell_angle_alpha 90.00
_cell_angle_beta 90.00
_cell_angle_gamma 90.00
loop_
_atom_site_label
_atom_site_fract_x
_atom_site_fract_y
_atom_site_fract_z
Sm1 0.000 0.000 0.000
Al1 0.000 0.500 0.500
Al2 0.500 0.000 0.500
Al3 0.500 0.500 0.000
C1 0.500 0.500 0.500
```

Results
The total magnetic moment is 0.00 μB/cell. For the density, the calculation gives 4.70 g/cm3. The uncorrected energy is -4.699 eV/atom.

# 3
Entry from OQMD: crystalline HfScIr2 at its relaxed geometry (PBE).

Structure (CIF):
```
data_HfScIr2
_symmetry_space_group_name_H-M 'P 1'
_symmetry_Int_Tables_number 1
_symmetry_space_group_name_Hall 'P 1'
_cell_length_a 4.693
_cell_length_b 6.241
_cell_length_c 4.694
_cell_angle_alpha 90.00
_cell_angle_beta 90.00
_cell_angle_gamma 90.00
loop_
_atom_site_label
_atom_site_fract_x
_atom_site_fract_y
_atom_site_fract_z
Hf1 0.250 0.250 0.249
Hf2 0.750 0.750 0.751
Sc1 0.250 0.750 0.249
Sc2 0.750 0.250 0.751
Ir1 0.250 0.000 0.748
Ir2 0.250 0.500 0.748
Ir3 0.750 0.000 0.252
Ir4 0.750 0.500 0.252
```

Results
The total magnetic moment is 0.01 μB/cell. The energy of formation is -0.99 eV/atom. For the density, the calculation gives 14.69 g/cm3.

# 4
Entry from OQMD: crystalline SrErNi at its relaxed geometry (PBE).

Structure (CIF):
```
data_SrErNi
_symmetry_space_group_name_H-M 'P 1'
_symmetry_Int_Tables_number 1
_symmetry_space_group_name_Hall 'P 1'
_cell_length_a 4.931
_cell_length_b 4.931
_cell_length_c 4.931
_cell_angle_alpha 60.00
_cell_angle_beta 60.00
_cell_angle_gamma 60.00
loop_
_atom_site_label
_atom_site_fract_x
_atom_site_fract_y
_atom_site_fract_z
Sr1 0.000 0.000 0.000
Er1 0.750 0.750 0.750
Ni1 0.500 0.500 0.500
```

Results
The total magnetic moment is 0.00 μB/cell. For the density, the calculation gives 6.14 g/cm3. The uncorrected energy is -3.210 eV/atom.

# 5
Entry from OQMD: crystalline GdTmCS at its relaxed geometry (PBE).

Structure (CIF):
```
data_GdTmCS
_symmetry_space_group_name_H-M 'P 1'
_symmetry_Int_Tables_number 1
_symmetry_space_group_name_Hall 'P 1'
_cell_length_a 3.697
_cell_length_b 3.697
_cell_length_c 12.884
_cell_angle_alpha 90.00
_cell_angle_beta 90.00
_cell_angle_gamma 120.00
loop_
_atom_site_label
_atom_site_fract_x
_atom_site_fract_y
_atom_site_fract_z
Gd1 0.333 0.667 0.000
Gd2 0.667 0.333 0.500
Tm1 0.333 0.667 0.292
Tm2 0.667 0.333 0.792
C1 0.000 0.000 0.394
C2 0.000 0.000 0.894
S1 0.333 0.667 0.651
S2 0.667 0.333 0.151
```

Results
The total magnetic moment is 0.01 μB/cell. For the density, the calculation gives 8.06 g/cm3. The uncorrected energy is -6.873 eV/atom.

# 6
Entry from OQMD: crystalline Pm6DyS8 at its relaxed geometry (PBE).

Structure (CIF):
```
data_Pm6DyS8
_symmetry_space_group_name_H-M 'P 1'
_symmetry_Int_Tables_number 1
_symmetry_space_group_name_Hall 'P 1'
_cell_length_a 8.028
_cell_length_b 8.028
_cell_length_c 8.028
_cell_angle_alpha 60.00
_cell_angle_beta 60.00
_cell_angle_gamma 60.00
loop_
_atom_site_label
_atom_site_fract_x
_atom_site_fract_y
_atom_site_fract_z
Pm1 0.000 0.000 0.500
Pm2 0.000 0.500 0.000
Pm3 0.000 0.500 0.500
Pm4 0.500 0.000 0.000
Pm5 0.500 0.000 0.500
Pm6 0.500 0.500 0.000
Dy1 0.000 0.000 0.000
S1 0.244 0.244 0.756
S2 0.244 0.756 0.244
S3 0.244 0.756 0.756
S4 0.250 0.250 0.250
S5 0.750 0.750 0.750
S6 0.756 0.244 0.244
S7 0.756 0.244 0.756
S8 0.756 0.756 0.244
```

Results
The total magnetic moment is 0.01 μB/cell. For the density, the calculation gives 5.85 g/cm3. The uncorrected energy is -6.477 eV/atom.

# 7
Entry from OQMD: crystalline LiHfTlNi at its relaxed geometry (PBE).

Structure (CIF):
```
data_LiHfTlNi
_symmetry_space_group_name_H-M 'P 1'
_symmetry_Int_Tables_number 1
_symmetry_space_group_name_Hall 'P 1'
_cell_length_a 4.574
_cell_length_b 4.574
_cell_length_c 4.574
_cell_angle_alpha 60.00
_cell_angle_beta 60.00
_cell_angle_gamma 60.00
loop_
_atom_site_label
_atom_site_fract_x
_atom_site_fract_y
_atom_site_fract_z
Li1 0.000 0.000 0.000
Hf1 0.250 0.250 0.250
Tl1 0.500 0.500 0.500
Ni1 0.750 0.750 0.750
```

Results
The total magnetic moment is 0.00 μB/cell. For the density, the calculation gives 11.01 g/cm3. The uncorrected energy is -4.790 eV/atom.

# 8
Entry from OQMD: crystalline CdPt at its relaxed geometry (PBE).

Structure (CIF):
```
data_CdPt
_symmetry_space_group_name_H-M 'P 1'
_symmetry_Int_Tables_number 1
_symmetry_space_group_name_Hall 'P 1'
_cell_length_a 2.996
_cell_length_b 2.996
_cell_length_c 3.867
_cell_angle_alpha 90.00
_cell_angle_beta 90.00
_cell_angle_gamma 90.00
loop_
_atom_site_label
_atom_site_fract_x
_atom_site_fract_y
_atom_site_fract_z
Cd1 0.000 0.000 0.000
Pt1 0.500 0.500 0.500
```

Results
The total magnetic moment is 0.00 μB/cell. The energy of formation is -0.33 eV/atom. For the density, the calculation gives 14.71 g/cm3.

# 9
Entry from OQMD: crystalline ZrInAg3Te4 at its relaxed geometry (PBE).

Structure (CIF):
```
data_ZrInAg3Te4
_symmetry_space_group_name_H-M 'P 1'
_symmetry_Int_Tables_number 1
_symmetry_space_group_name_Hall 'P 1'
_cell_length_a 6.773
_cell_length_b 6.773
_cell_length_c 6.773
_cell_angle_alpha 90.00
_cell_angle_beta 90.00
_cell_angle_gamma 90.00
loop_
_atom_site_label
_atom_site_fract_x
_atom_site_fract_y
_atom_site_fract_z
Zr1 0.000 0.000 0.000
In1 0.500 0.500 0.500
Ag1 0.000 0.000 0.500
Ag2 0.000 0.500 0.000
Ag3 0.500 0.000 0.000
Te1 0.235 0.235 0.765
Te2 0.235 0.765 0.235
Te3 0.765 0.235 0.235
Te4 0.765 0.765 0.765
```

Results
The total magnetic moment is 0.00 μB/cell. For the density, the calculation gives 5.56 g/cm3. The uncorrected energy is -3.935 eV/atom.

# 10
Entry from OQMD: crystalline SrLiDyS3 at its relaxed geometry (PBE).

Structure (CIF):
```
data_SrLiDyS3
_symmetry_space_group_name_H-M 'P 1'
_symmetry_Int_Tables_number 1
_symmetry_space_group_name_Hall 'P 1'
_cell_length_a 13.272
_cell_length_b 3.993
_cell_length_c 10.400
_cell_angle_alpha 90.00
_cell_angle_beta 90.00
_cell_angle_gamma 90.00
loop_
_atom_site_label
_atom_site_fract_x
_atom_site_fract_y
_atom_site_fract_z
Sr1 0.228 0.250 0.028
Sr2 0.272 0.750 0.528
Sr3 0.728 0.250 0.472
Sr4 0.772 0.750 0.972
Li1 0.006 0.750 0.089
Li2 0.494 0.250 0.589
Li3 0.506 0.750 0.411
Li4 0.994 0.250 0.911
Dy1 0.016 0.250 0.332
Dy2 0.484 0.750 0.832
Dy3 0.516 0.250 0.168
Dy4 0.984 0.750 0.668
S1 0.094 0.750 0.889
S2 0.107 0.250 0.568
S3 0.139 0.750 0.246
S4 0.361 0.250 0.746
S5 0.393 0.750 0.068
S6 0.406 0.250 0.389
S7 0.594 0.750 0.611
S8 0.607 0.250 0.932
S9 0.639 0.750 0.254
S10 0.861 0.250 0.754
S11 0.893 0.750 0.432
S12 0.906 0.250 0.111
```

Results
The total magnetic moment is 0.01 μB/cell. For the density, the calculation gives 4.26 g/cm3. The uncorrected energy is -5.338 eV/atom.

# 11
Entry from OQMD: crystalline LaDyCd2Au4 at its relaxed geometry (PBE).

Structure (CIF):
```
data_LaDyCd2Au4
_symmetry_space_group_name_H-M 'P 1'
_symmetry_Int_Tables_number 1
_symmetry_space_group_name_Hall 'P 1'
_cell_length_a 5.026
_cell_length_b 5.026
_cell_length_c 7.078
_cell_angle_alpha 90.00
_cell_angle_beta 90.00
_cell_angle_gamma 90.00
loop_
_atom_site_label
_atom_site_fract_x
_atom_site_fract_y
_atom_site_fract_z
La1 0.000 0.000 0.000
Dy1 0.500 0.500 0.500
Cd1 0.000 0.000 0.500
Cd2 0.500 0.500 0.000
Au1 0.000 0.500 0.265
Au2 0.000 0.500 0.735
Au3 0.500 0.000 0.265
Au4 0.500 0.000 0.735
```

Results
The total magnetic moment is 0.01 μB/cell. The energy of formation is -0.67 eV/atom. For the density, the calculation gives 12.21 g/cm3.

Number 1 is which compound? Ta3InGe5

Copy entry 3 word for word.
Entry from OQMD: crystalline HfScIr2 at its relaxed geometry (PBE).

Structure (CIF):
```
data_HfScIr2
_symmetry_space_group_name_H-M 'P 1'
_symmetry_Int_Tables_number 1
_symmetry_space_group_name_Hall 'P 1'
_cell_length_a 4.693
_cell_length_b 6.241
_cell_length_c 4.694
_cell_angle_alpha 90.00
_cell_angle_beta 90.00
_cell_angle_gamma 90.00
loop_
_atom_site_label
_atom_site_fract_x
_atom_site_fract_y
_atom_site_fract_z
Hf1 0.250 0.250 0.249
Hf2 0.750 0.750 0.751
Sc1 0.250 0.750 0.249
Sc2 0.750 0.250 0.751
Ir1 0.250 0.000 0.748
Ir2 0.250 0.500 0.748
Ir3 0.750 0.000 0.252
Ir4 0.750 0.500 0.252
```

Results
The total magnetic moment is 0.01 μB/cell. The energy of formation is -0.99 eV/atom. For the density, the calculation gives 14.69 g/cm3.